Crystalline LiPaGe4 at its relaxed geometry. Source: Alexandria via LeMat-Bulk, functional PBE. Values from VASP.

## Properties
- theoretical density (Mg/m³) = 7.52
- DFT formation energy (eV/f.u.) = -0.38

Structure (Quantum ESPRESSO input):
```
&SYSTEM
  ibrav = 0, nat = 6, ntyp = 3
/
ATOMIC_SPECIES
Li 6.94 Li.upf
Pa 231.04 Pa.upf
Ge 72.64 Ge.upf
CELL_PARAMETERS angstrom
0.0000 3.8784 3.8784
3.8784 0.0000 3.8784
3.8784 3.8784 0.0000
ATOMIC_POSITIONS crystal
Li 0.0000 0.0000 0.0000
Pa 0.2500 0.2500 0.2500
Ge 0.1240 0.6253 0.6253
Ge 0.6253 0.1240 0.6253
Ge 0.6253 0.6253 0.1240
Ge 0.6253 0.6253 0.6253
```